Ga2GeCl: relaxed, PBE-GGA.

POSCAR file:
```
Ga2GeCl
1.0
0.0000 3.4364 3.4364
3.4364 0.0000 3.4364
3.4364 3.4364 0.0000
Ga Ge Cl
2 1 1
Direct
0.2500 0.2500 0.2500
0.7500 0.7500 0.7500
0.0000 0.0000 0.0000
0.5000 0.5000 0.5000
```

Computed properties:
Raw formation energy   21 meV/atom

RbTlB2Br8: relaxed, PBE-GGA.

POSCAR file:
```
RbTlB2Br8
1.0
3.4663 2.0013 9.8812
-3.4663 2.0013 9.8812
0.0000 -4.0026 9.8812
Rb Tl B Br
1 1 2 8
Direct
0.0000 0.0000 0.0000
0.5000 0.5000 0.5000
0.2401 0.2401 0.2401
0.7599 0.7599 0.7599
0.0463 0.6514 0.5122
0.1720 0.1720 0.1720
0.3486 0.4878 0.9537
0.4878 0.9537 0.3486
0.5122 0.0463 0.6514
0.6514 0.5122 0.0463
0.8280 0.8280 0.8280
0.9537 0.3486 0.4878
```

Computed properties:
Raw formation energy   -779 meV/atom

TlTcIN2: relaxed, PBE-GGA.

POSCAR file:
```
TlTcIN2
1.0
4.2522 0.0000 0.0000
0.0000 4.2522 0.0000
0.0000 0.0000 6.7425
Tl Tc I N
1 1 1 2
Direct
0.0000 0.0000 0.0000
0.5000 0.5000 0.5000
0.0000 0.0000 0.5000
0.0000 0.5000 0.0000
0.5000 0.0000 0.0000
```

Computed properties:
Raw formation energy   2292 meV/atom

TeMo2: relaxed, PBE-GGA.

POSCAR file:
```
TeMo2
1.0
4.0413 -2.7408 0.0000
4.0413 2.7408 0.0000
0.0000 0.0000 4.8390
Te Mo
2 4
Direct
0.2050 0.7950 0.7500
0.7950 0.2050 0.2500
0.1661 0.5027 0.2500
0.4973 0.8339 0.2500
0.5027 0.1661 0.7500
0.8339 0.4973 0.7500
```

Computed properties:
Raw formation energy   291 meV/atom

Nd4Te2AsPb: relaxed, PBE-GGA.

POSCAR file:
```
Nd4Te2AsPb
1.0
7.7361 0.0000 0.0000
0.0000 4.4605 0.0000
-2.5683 0.0000 7.3426
Nd Te As Pb
4 2 1 1
Direct
0.2342 0.0000 0.2286
0.2455 0.5000 0.7631
0.7545 0.5000 0.2369
0.7658 0.0000 0.7714
0.0000 0.0000 0.5000
0.5000 0.5000 0.5000
0.0000 0.5000 0.0000
0.5000 0.0000 0.0000
```

Computed properties:
Raw formation energy   -1274 meV/atom

KMnNi: relaxed, PBE-GGA.

POSCAR file:
```
KMnNi
1.0
6.0819 0.0000 0.0000
0.0000 3.8838 0.0000
0.0000 0.0000 12.0061
K Mn Ni
4 4 4
Direct
0.0847 0.2500 0.1291
0.4153 0.7500 0.6291
0.5847 0.2500 0.3709
0.9153 0.7500 0.8709
0.0749 0.7500 0.3620
0.4251 0.2500 0.8620
0.5749 0.7500 0.1380
0.9251 0.2500 0.6380
0.0753 0.2500 0.4565
0.4247 0.7500 0.9565
0.5753 0.2500 0.0435
0.9247 0.7500 0.5435
```

Computed properties:
ΔE_f   1.162 eV/atom

AcSmTlZn: relaxed, PBE-GGA.

POSCAR file:
```
AcSmTlZn
1.0
0.0000 3.9152 3.9152
3.9152 0.0000 3.9152
3.9152 3.9152 0.0000
Ac Sm Tl Zn
1 1 1 1
Direct
0.0000 0.0000 0.0000
0.5000 0.5000 0.5000
0.7500 0.7500 0.7500
0.2500 0.2500 0.2500
```

Computed properties:
ΔE_f   -0.275 eV/atom

Ba4HgBi3O12: relaxed, PBE-GGA.

POSCAR file:
```
Ba4HgBi3O12
1.0
-4.3863 4.3863 4.3863
4.3863 -4.3863 4.3863
4.3863 4.3863 -4.3863
Ba Hg Bi O
4 1 3 12
Direct
0.0000 0.0000 0.5000
0.0000 0.5000 0.0000
0.5000 0.0000 0.0000
0.5000 0.5000 0.5000
0.0000 0.0000 0.0000
0.0000 0.5000 0.5000
0.5000 0.0000 0.5000
0.5000 0.5000 0.0000
0.0000 0.2595 0.2595
0.0000 0.7405 0.7405
0.2500 0.5000 0.7500
0.2500 0.7500 0.5000
0.2595 0.0000 0.2595
0.2595 0.2595 0.0000
0.5000 0.2500 0.7500
0.5000 0.7500 0.2500
0.7405 0.0000 0.7405
0.7405 0.7405 0.0000
0.7500 0.2500 0.5000
0.7500 0.5000 0.2500
```

Computed properties:
Raw formation energy   -1657 meV/atom